Record 1
ZrTiTe3 | the Alexandria database | PBE-GGA | relaxed; space group = Pm-3m (221); energy above the lowest structure with this stoichiometry = 944 meV/atom; uncorrected formation energy = 0.1303 eV per atom
1.0
5.283 0.000 0.000
0.000 5.283 0.000
0.000 0.000 5.283
Zr Ti Te
1 1 3
Direct
0.000 0.000 0.000
0.500 0.500 0.500
0.000 0.500 0.500
0.500 0.000 0.500
0.500 0.500 0.000



Record 2
Ni4Pb | the Alexandria database | PBE-GGA | relaxed; space group = Pm-3m (221); energy above the lowest structure with this stoichiometry = 1310 meV/atom; calculated formation energy = 8.2 eV/f.u.
1.0
4.721 0.000 0.000
0.000 4.721 0.000
0.000 0.000 4.721
Ni Pb
4 1
Direct
0.000 0.000 0.000
0.000 0.500 0.500
0.500 0.000 0.500
0.500 0.500 0.000
0.500 0.500 0.500



Record 3
Y2AsRh | the Alexandria database | PBE-GGA | relaxed; space group = P4mm (99); calculated formation energy = -1.8 eV/f.u.
1.0
3.393 0.000 0.000
0.000 3.393 0.000
0.000 0.000 7.933
Y As Rh
2 1 1
Direct
0.000 0.000 0.000
0.500 0.500 0.366
0.000 0.000 0.617
0.500 0.500 0.754



Record 4
PtRhBr2 | the Alexandria database | PBE-GGA | relaxed; space group = Cmmm (65); energy above the lowest structure with this stoichiometry = 630 meV/atom; uncorrected formation energy = 0.5967 eV per atom
1.0
1.551 -2.971 0.000
1.551 2.971 0.000
0.000 0.000 8.545
Pt Rh Br
1 1 2
Direct
0.000 0.000 0.000
0.000 0.000 0.500
0.500 0.500 0.262
0.500 0.500 0.738



Record 5
K3Ba | the Alexandria database | PBE-GGA | relaxed; space group = P2/m (10); calculated formation energy = 0.3 eV/f.u.
1.0
4.439 0.000 0.000
0.000 7.413 0.000
-1.330 0.000 8.519
K Ba
3 1
Direct
0.000 0.000 0.000
0.193 0.500 0.748
0.807 0.500 0.252
0.500 0.000 0.500



Record 6
CrFeRh4 | the Alexandria database | PBE-GGA | relaxed; space group = Pmma (51); energy above the lowest structure with this stoichiometry = 0 meV/atom; calculated formation energy = 0.1 eV/f.u.
1.0
8.490 0.000 0.000
0.000 2.680 0.000
0.000 0.000 7.205
Cr Fe Rh
2 2 8
Direct
0.250 0.000 0.025
0.750 0.000 0.975
0.250 0.000 0.679
0.750 0.000 0.321
0.000 0.000 0.500
0.031 0.500 0.829
0.250 0.500 0.349
0.469 0.500 0.829
0.500 0.000 0.500
0.531 0.500 0.171
0.750 0.500 0.651
0.969 0.500 0.171



Record 7
KNa2Se2 | the Alexandria database | PBE-GGA | relaxed; space group = P2_1/m (11); energy above the lowest structure with this stoichiometry = 0 meV/atom; uncorrected formation energy = -0.9558 eV per atom
1.0
4.925 0.000 0.000
0.000 5.092 0.000
-1.569 0.000 11.706
K Na Se
2 4 4
Direct
0.187 0.250 0.268
0.813 0.750 0.732
0.248 0.750 0.500
0.362 0.250 0.877
0.638 0.750 0.123
0.752 0.250 0.500
0.090 0.750 0.997
0.294 0.250 0.634
0.706 0.750 0.366
0.910 0.250 0.003



Record 8
Be2TcPb | the Alexandria database | PBE-GGA | relaxed; space group = F-43m (216); calculated formation energy = 3.4 eV/f.u.
1.0
0.000 3.102 3.102
3.102 0.000 3.102
3.102 3.102 0.000
Be Tc Pb
2 1 1
Direct
0.000 0.000 0.000
0.250 0.250 0.250
0.500 0.500 0.500
0.750 0.750 0.750



Looking at raw total energy for the records above, in order, we have -5.0433 -3.7360 -6.6890 -3.5878 -1.2171 -7.8973 -3.0967 -4.5261 eV per atom.
Looking at total moment for the records above, in order, we have 1.9 1.4 0.0 0.2 0.0 2.3 0.0 0.0 μB per formula unit.